(1)
9
Lattice="-2.569 -0.216 -3.613 -3.411 -2.837 -0.132 -3.618 4.243 2.318" Properties=species:S:1:pos:R:3 comment="PBE KAlH6Os, optimized geometry" energy_ev_per_atom=-4.26 dos_at_fermi_per_ev_fu=0.0 magnetic_moment_mub_per_cell=0.00 pbc="T T T"
K -6.187 4.027 -1.295
Al -5.796 0.086 -1.338
H -2.365 0.448 0.557
H -3.416 2.691 0.407
H -5.187 1.828 -0.777
H -4.735 1.056 1.340
H -4.167 -0.514 -0.497
H -2.944 1.113 -1.565
Os -3.802 1.104 -0.089

(2)
8
Lattice="-2.580 4.959 -1.801 -3.049 0.235 5.014 -0.280 4.444 3.061" Properties=species:S:1:pos:R:3 comment="PBE HfSi2N, optimized geometry" energy_ev_per_atom=-7.31 dos_at_fermi_per_ev_fu=2.1 formation_energy_uncorrected_ev_per_atom=-0.031 magnetic_moment_mub_per_cell=0.00 pbc="T T T"
Si -1.776 3.688 0.467
Si -2.586 2.430 3.473
Si -2.660 5.307 4.059
Si -4.796 7.852 4.549
Hf 0.000 0.000 0.000
Hf -2.837 6.000 1.433
N -2.815 2.597 1.606
N -3.072 3.638 4.841

(3)
5
Lattice="-0.919 -4.807 -1.244 -1.152 -1.024 4.809 -4.830 1.159 -0.910" Properties=species:S:1:pos:R:3 comment="PBE Mg3GeF, optimized geometry" energy_ev_per_atom=-2.60 dos_at_fermi_per_ev_fu=3.2 formation_energy_uncorrected_ev_per_atom=-0.350 magnetic_moment_mub_per_cell=0.00 de_polymorph_mev_per_atom=465 pbc="T T T"
Ge 0.000 0.000 0.000
Mg -0.576 -0.512 2.404
Mg -2.415 0.579 -0.455
Mg -0.460 -2.404 -0.622
F -3.450 -2.336 1.327

(4)
4
Lattice="-1.213 0.174 4.237 1.682 -3.730 -1.661 3.758 3.905 0.915" Properties=species:S:1:pos:R:3 comment="PBE LaZnCuPt, optimized geometry" energy_ev_per_atom=-4.71 dos_at_fermi_per_ev_fu=2.2 magnetic_moment_mub_per_cell=0.00 pbc="T T T"
La 1.532 1.171 2.686
Zn 3.939 3.011 1.004
Cu 0.480 -1.841 2.509
Pt 4.184 0.428 1.180